(1)
## YC2BrO6 (PBE-GGA)

Data for a geometry-optimized YC2BrO6 structure.

**Formation energy (no corrections)**: -1655.7 kJ/mol of formula units
**Space-group type**: C2/c, No. 15
**D(E_F)**: 0.0 states/eV/cell
**Total DFT energy (no corrections)**: -73.49 eV/f.u.

a = 6.529 Å, b = 6.529 Å, c = 7.474 Å
α = 112.00°, β = 112.00°, γ = 89.46°
Sites, in units of the cell vectors:
O 0.474 0.289 0.886
O 0.859 0.695 0.952
O 0.289 0.474 0.386
O 0.711 0.526 0.614
O 0.912 0.393 0.227
O 0.526 0.711 0.114
O 0.088 0.607 0.773
O 0.305 0.141 0.548
O 0.695 0.859 0.452
O 0.141 0.305 0.048
O 0.607 0.088 0.273
O 0.393 0.912 0.727
C 0.610 0.899 0.279
C 0.899 0.610 0.779
C 0.390 0.101 0.721
C 0.101 0.390 0.221
Br 0.097 0.903 0.250
Br 0.903 0.097 0.750
Y 0.424 0.576 0.750
Y 0.576 0.424 0.250

(2)
## Tb4HgBi2Se (PBE-GGA)

Data for a geometry-optimized Tb4HgBi2Se structure.

**Formation energy (no corrections)**: -727.9 kJ/mol of formula units
**Space-group type**: P2/m, No. 10
**D(E_F)**: 3.8 states/eV/cell
**Total DFT energy (no corrections)**: -37.61 eV/f.u.

a = 4.310 Å, b = 7.322 Å, c = 7.847 Å
α = 71.18°, β = 90.00°, γ = 90.00°
Sites, in units of the cell vectors:
Bi 0.500 0.000 0.500
Bi 0.000 0.000 0.000
Tb 0.000 0.265 0.238
Tb 0.500 0.737 0.243
Tb 0.500 0.263 0.757
Tb 0.000 0.735 0.762
Hg 0.000 0.500 0.500
Se 0.500 0.500 0.000

(3)
## Nd3Y (PBE-GGA)

Data for a geometry-optimized Nd3Y structure.

**Energy relative to the elements**: 0.013 eV/atom
**Space-group type**: Pm-3m, No. 221
**ΔE to the lowest computed polymorph**: 15.7 meV/atom
**D(E_F)**: 6.7 states/eV/cell
**Total DFT energy (no corrections)**: -20.72 eV/f.u.

a = 5.167 Å, b = 5.167 Å, c = 5.167 Å
α = 90.00°, β = 90.00°, γ = 90.00°
Sites, in units of the cell vectors:
Nd 0.500 0.000 0.500
Nd 0.500 0.500 0.000
Nd 0.000 0.500 0.500
Y 0.000 0.000 0.000

(4)
## Ge6PtRh5 (PBE-GGA)

Data for a geometry-optimized Ge6PtRh5 structure.

**Energy relative to the elements**: -0.285 eV/atom
**Space-group type**: C2/m, No. 12
**D(E_F)**: 6.6 states/eV/cell
**Total DFT energy (no corrections)**: -73.92 eV/f.u.

a = 7.322 Å, b = 4.448 Å, c = 7.260 Å
α = 72.16°, β = 79.33°, γ = 52.82°
Sites, in units of the cell vectors:
Rh 0.000 0.674 0.652
Rh 0.500 0.850 0.300
Rh 0.000 0.326 0.348
Rh 0.500 0.150 0.700
Rh 0.500 0.500 0.000
Ge 0.743 0.429 0.658
Ge 0.257 0.571 0.342
Ge 0.245 0.256 0.000
Ge 0.257 0.913 0.658
Ge 0.755 0.744 0.000
Ge 0.743 0.087 0.342
Pt 0.000 0.000 0.000